# 1
! YCdBr2 | Alexandria | GGA-PBEsol | relaxed; values from VASP
&SYSTEM
  ibrav = 0, nat = 4, ntyp = 3
/
ATOMIC_SPECIES
Br 79.90 Br.upf
Cd 112.41 Cd.upf
Y 88.91 Y.upf
CELL_PARAMETERS angstrom
-2.096 1.549 2.486
-3.926 -3.299 -1.255
2.509 -2.687 3.789
ATOMIC_POSITIONS crystal
Br 0.000 0.000 0.500
Br 0.000 0.500 0.000
Cd 0.500 0.000 0.000
Y 0.500 0.500 0.500
! - Symmetry: Cmmm, No. 65
! - ΔE_f (raw): -687 meV per atom

***

# 2
! Y3CdBr | Alexandria | GGA-PBEsol | relaxed; values from VASP
&SYSTEM
  ibrav = 0, nat = 5, ntyp = 3
/
ATOMIC_SPECIES
Y 88.91 Y.upf
Cd 112.41 Cd.upf
Br 79.90 Br.upf
CELL_PARAMETERS angstrom
5.237 0.000 0.000
0.000 5.237 0.000
0.000 0.000 5.237
ATOMIC_POSITIONS crystal
Y 0.000 0.500 0.000
Y 0.000 0.000 0.500
Y 0.500 0.000 0.000
Cd 0.500 0.500 0.500
Br 0.000 0.000 0.000
! - Symmetry: Pm-3m, No. 221
! - ΔE_f (raw): -264 meV per atom

***

# 3
! YCdBr | Alexandria | GGA-PBEsol | relaxed; values from VASP
&SYSTEM
  ibrav = 0, nat = 3, ntyp = 3
/
ATOMIC_SPECIES
Br 79.90 Br.upf
Y 88.91 Y.upf
Cd 112.41 Cd.upf
CELL_PARAMETERS angstrom
0.545 -3.038 1.587
3.295 0.906 0.609
-3.737 3.771 4.707
ATOMIC_POSITIONS crystal
Br 0.967 0.967 0.935
Y 0.343 0.343 0.685
Cd 0.690 0.690 0.380
! - Symmetry: I4mm, No. 107
! - ΔE_f (raw): -664 meV per atom

***

# 4
! Zn2CdBr | Alexandria | GGA-PBEsol | relaxed; values from VASP
&SYSTEM
  ibrav = 0, nat = 4, ntyp = 3
/
ATOMIC_SPECIES
Zn 65.41 Zn.upf
Cd 112.41 Cd.upf
Br 79.90 Br.upf
CELL_PARAMETERS angstrom
-1.084 3.095 0.447
-4.294 -1.285 -1.513
-1.420 -1.231 5.078
ATOMIC_POSITIONS crystal
Zn 0.000 0.000 0.000
Zn 0.500 0.500 0.000
Cd 0.000 0.500 0.500
Br 0.500 0.000 0.500
! - Symmetry: Pmmm, No. 47
! - ΔE_f (raw): 190 meV per atom
! - E above lowest polymorph: 24.3 kJ per mole of atoms

***

# 5
! ZnCdBr4 | Alexandria | GGA-PBEsol | relaxed; values from VASP
&SYSTEM
  ibrav = 0, nat = 6, ntyp = 3
/
ATOMIC_SPECIES
Cd 112.41 Cd.upf
Zn 65.41 Zn.upf
Br 79.90 Br.upf
CELL_PARAMETERS angstrom
-0.272 -5.821 -1.943
4.513 -3.922 1.408
-1.014 -4.534 4.017
ATOMIC_POSITIONS crystal
Cd 0.750 0.750 0.750
Zn 0.000 0.000 0.000
Br 0.872 0.376 0.376
Br 0.376 0.376 0.376
Br 0.376 0.872 0.376
Br 0.376 0.376 0.872
! - Symmetry: F-43m, No. 216
! - ΔE_f (raw): 543 meV per atom

***

# 6
! ZnCd3Br | Alexandria | GGA-PBEsol | relaxed; values from VASP
&SYSTEM
  ibrav = 0, nat = 5, ntyp = 3
/
ATOMIC_SPECIES
Cd 112.41 Cd.upf
Br 79.90 Br.upf
Zn 65.41 Zn.upf
CELL_PARAMETERS angstrom
5.654 0.000 0.000
0.000 5.654 0.000
0.000 0.000 5.654
ATOMIC_POSITIONS crystal
Cd 0.500 0.000 0.000
Cd 0.000 0.000 0.500
Cd 0.000 0.500 0.000
Br 0.000 0.000 0.000
Zn 0.500 0.500 0.500
! - Symmetry: Pm-3m, No. 221
! - ΔE_f (raw): 713 meV per atom

***

# 7
! Zn2CdBr | Alexandria | GGA-PBEsol | relaxed; values from VASP
&SYSTEM
  ibrav = 0, nat = 4, ntyp = 3
/
ATOMIC_SPECIES
Zn 65.41 Zn.upf
Cd 112.41 Cd.upf
Br 79.90 Br.upf
CELL_PARAMETERS angstrom
-2.307 0.101 2.601
0.921 -1.057 3.184
1.801 6.862 3.658
ATOMIC_POSITIONS crystal
Zn 0.744 0.744 0.769
Zn 0.007 0.007 0.978
Cd 0.259 0.259 0.223
Br 0.490 0.490 0.530
! - Symmetry: R3m, No. 160
! - ΔE_f (raw): -62 meV per atom
! - E above lowest polymorph: 0.0 kJ per mole of atoms

***

# 8
! Zn2CdBr | Alexandria | GGA-PBEsol | relaxed; values from VASP
&SYSTEM
  ibrav = 0, nat = 4, ntyp = 3
/
ATOMIC_SPECIES
Cd 112.41 Cd.upf
Zn 65.41 Zn.upf
Br 79.90 Br.upf
CELL_PARAMETERS angstrom
-1.392 -1.035 2.700
-2.129 -1.884 -1.820
4.808 -5.712 0.289
ATOMIC_POSITIONS crystal
Cd 0.000 0.500 0.000
Zn 0.500 0.000 0.776
Zn 0.500 0.000 0.224
Br 0.500 0.500 0.500
! - Symmetry: Pmmm, No. 47
! - ΔE_f (raw): -11 meV per atom
! - E above lowest polymorph: 5.0 kJ per mole of atoms

***

# 9
! Zn2CdBr | Alexandria | GGA-PBEsol | relaxed; values from VASP
&SYSTEM
  ibrav = 0, nat = 4, ntyp = 3
/
ATOMIC_SPECIES
Br 79.90 Br.upf
Zn 65.41 Zn.upf
Cd 112.41 Cd.upf
CELL_PARAMETERS angstrom
4.970 0.000 0.000
2.485 4.304 0.000
2.485 1.435 4.058
ATOMIC_POSITIONS crystal
Br 0.000 0.000 0.000
Zn 0.250 0.250 0.250
Zn 0.750 0.750 0.750
Cd 0.500 0.500 0.500
! - Symmetry: Fm-3m, No. 225
! - ΔE_f (raw): 282 meV per atom
! - E above lowest polymorph: 33.2 kJ per mole of atoms

***

# 10
! ZnCd4Br | Alexandria | GGA-PBEsol | relaxed; values from VASP
&SYSTEM
  ibrav = 0, nat = 6, ntyp = 3
/
ATOMIC_SPECIES
Br 79.90 Br.upf
Cd 112.41 Cd.upf
Zn 65.41 Zn.upf
CELL_PARAMETERS angstrom
5.796 0.000 0.000
2.898 5.019 0.000
2.898 1.673 4.732
ATOMIC_POSITIONS crystal
Br 0.000 0.000 0.000
Cd 0.376 0.872 0.376
Cd 0.872 0.376 0.376
Cd 0.376 0.376 0.872
Cd 0.376 0.376 0.376
Zn 0.750 0.750 0.750
! - Symmetry: F-43m, No. 216
! - ΔE_f (raw): 167 meV per atom

***

# 11
! ZrCdBr2 | Alexandria | GGA-PBEsol | relaxed; values from VASP
&SYSTEM
  ibrav = 0, nat = 4, ntyp = 3
/
ATOMIC_SPECIES
Br 79.90 Br.upf
Cd 112.41 Cd.upf
Zr 91.22 Zr.upf
CELL_PARAMETERS angstrom
4.523 0.000 0.000
0.000 4.523 0.000
-2.262 -2.262 4.195
ATOMIC_POSITIONS crystal
Br 0.750 0.250 0.500
Br 0.250 0.750 0.500
Cd 0.500 0.500 0.000
Zr 0.000 0.000 0.000
! - Symmetry: I4/mmm, No. 139
! - ΔE_f (raw): -236 meV per atom

***

# 12
! ZrCd2Br | Alexandria | GGA-PBEsol | relaxed; values from VASP
&SYSTEM
  ibrav = 0, nat = 4, ntyp = 3
/
ATOMIC_SPECIES
Cd 112.41 Cd.upf
Br 79.90 Br.upf
Zr 91.22 Zr.upf
CELL_PARAMETERS angstrom
-0.063 2.903 1.335
-5.436 0.092 -0.455
2.312 -3.709 4.349
ATOMIC_POSITIONS crystal
Cd 0.770 0.270 0.539
Cd 0.999 0.999 0.999
Br 0.215 0.715 0.430
Zr 0.516 0.516 0.032
! - Symmetry: Imm2, No. 44
! - ΔE_f (raw): -171 meV per atom

***

# 13
! Cs2KCeBr6 | Alexandria | GGA-PBEsol | relaxed; values from VASP
&SYSTEM
  ibrav = 0, nat = 10, ntyp = 4
/
ATOMIC_SPECIES
Cs 132.91 Cs.upf
Br 79.90 Br.upf
Ce 140.12 Ce.upf
K 39.10 K.upf
CELL_PARAMETERS angstrom
-5.723 -1.525 5.935
-6.294 -5.328 -1.516
-0.190 -7.460 3.823
ATOMIC_POSITIONS crystal
Cs 0.250 0.250 0.250
Cs 0.750 0.750 0.750
Br 0.759 0.759 0.241
Br 0.241 0.759 0.759
Br 0.241 0.759 0.241
Br 0.759 0.241 0.241
Br 0.759 0.241 0.759
Br 0.241 0.241 0.759
Ce 0.000 0.000 0.000
K 0.500 0.500 0.500
! - Symmetry: Fm-3m, No. 225
! - ΔE_f (raw): -1759 meV per atom

***

# 14
! Cs2LiCeBr6 | Alexandria | GGA-PBEsol | relaxed; values from VASP
&SYSTEM
  ibrav = 0, nat = 10, ntyp = 4
/
ATOMIC_SPECIES
Cs 132.91 Cs.upf
Ce 140.12 Ce.upf
Br 79.90 Br.upf
Li 6.94 Li.upf
CELL_PARAMETERS angstrom
-2.921 6.407 -3.470
1.417 1.337 -7.604
-5.796 -0.677 -5.251
ATOMIC_POSITIONS crystal
Cs 0.250 0.250 0.250
Cs 0.750 0.750 0.750
Ce 0.000 0.000 0.000
Br 0.743 0.257 0.743
Br 0.743 0.743 0.257
Br 0.743 0.257 0.257
Br 0.257 0.743 0.743
Br 0.257 0.257 0.743
Br 0.257 0.743 0.257
Li 0.500 0.500 0.500
! - Symmetry: Fm-3m, No. 225
! - ΔE_f (raw): -1756 meV per atom

***

# 15
! K2CeBr5 | Alexandria | GGA-PBEsol | relaxed; values from VASP
&SYSTEM
  ibrav = 0, nat = 32, ntyp = 3
/
ATOMIC_SPECIES
Br 79.90 Br.upf
Ce 140.12 Ce.upf
K 39.10 K.upf
CELL_PARAMETERS angstrom
-4.416 -6.101 -3.656
4.930 0.974 -7.580
8.662 -8.956 4.484
ATOMIC_POSITIONS crystal
Br 0.331 0.954 0.079
Br 0.831 0.454 0.421
Br 0.669 0.046 0.921
Br 0.932 0.750 0.993
Br 0.834 0.750 0.709
Br 0.166 0.250 0.291
Br 0.831 0.046 0.421
Br 0.869 0.250 0.682
Br 0.432 0.250 0.507
Br 0.131 0.750 0.318
Br 0.369 0.750 0.818
Br 0.631 0.250 0.182
Br 0.334 0.250 0.791
Br 0.169 0.954 0.579
Br 0.666 0.750 0.209
Br 0.068 0.250 0.007
Br 0.169 0.546 0.579
Br 0.669 0.454 0.921
Br 0.568 0.750 0.493
Br 0.331 0.546 0.079
Ce 0.578 0.750 0.994
Ce 0.922 0.750 0.494
Ce 0.422 0.250 0.006
Ce 0.078 0.250 0.506
K 0.946 0.005 0.173
K 0.554 0.495 0.673
K 0.446 0.505 0.327
K 0.554 0.005 0.673
K 0.946 0.495 0.173
K 0.054 0.505 0.827
K 0.446 0.995 0.327
K 0.054 0.995 0.827
! - Symmetry: Pnma, No. 62
! - ΔE_f (raw): -1782 meV per atom

***

# 16
! K2LiCeBr6 | Alexandria | GGA-PBEsol | relaxed; values from VASP
&SYSTEM
  ibrav = 0, nat = 10, ntyp = 4
/
ATOMIC_SPECIES
K 39.10 K.upf
Ce 140.12 Ce.upf
Br 79.90 Br.upf
Li 6.94 Li.upf
CELL_PARAMETERS angstrom
7.768 0.000 0.000
3.884 6.727 0.000
3.884 2.242 6.342
ATOMIC_POSITIONS crystal
K 0.250 0.250 0.250
K 0.750 0.750 0.750
Ce 0.000 0.000 0.000
Br 0.741 0.259 0.741
Br 0.741 0.259 0.259
Br 0.741 0.741 0.259
Br 0.259 0.741 0.259
Br 0.259 0.741 0.741
Br 0.259 0.259 0.741
Li 0.500 0.500 0.500
! - Symmetry: Fm-3m, No. 225
! - ΔE_f (raw): -1660 meV per atom

***

# 17
! CeMoBrO4 | Alexandria | GGA-PBEsol | relaxed; values from VASP
&SYSTEM
  ibrav = 0, nat = 28, ntyp = 4
/
ATOMIC_SPECIES
O 16.00 O.upf
Mo 95.94 Mo.upf
Br 79.90 Br.upf
Ce 140.12 Ce.upf
CELL_PARAMETERS angstrom
5.872 0.000 0.000
0.000 7.540 0.005
0.000 -0.032 9.772
ATOMIC_POSITIONS crystal
O 0.682 0.875 0.663
O 0.474 0.163 0.731
O 0.526 0.837 0.269
O 0.250 0.375 0.532
O 0.974 0.337 0.269
O 0.473 0.589 0.732
O 0.026 0.663 0.731
O 0.027 0.089 0.732
O 0.318 0.125 0.337
O 0.750 0.125 0.468
O 0.250 0.875 0.532
O 0.818 0.375 0.663
O 0.527 0.411 0.268
O 0.750 0.625 0.468
O 0.973 0.911 0.268
O 0.182 0.625 0.337
Mo 0.250 0.375 0.355
Mo 0.750 0.625 0.645
Mo 0.250 0.875 0.355
Mo 0.750 0.125 0.645
Br 0.756 0.375 0.978
Br 0.256 0.125 0.022
Br 0.244 0.625 0.022
Br 0.744 0.875 0.978
Ce 0.188 0.376 0.777
Ce 0.312 0.876 0.777
Ce 0.812 0.624 0.223
Ce 0.688 0.124 0.223
! - Symmetry: P2_1/c, No. 14
! - ΔE_f (raw): -2391 meV per atom

***

# 18
! Rb2NaCeBr6 | Alexandria | GGA-PBEsol | relaxed; values from VASP
&SYSTEM
  ibrav = 0, nat = 10, ntyp = 4
/
ATOMIC_SPECIES
Br 79.90 Br.upf
Rb 85.47 Rb.upf
Na 22.99 Na.upf
Ce 140.12 Ce.upf
CELL_PARAMETERS angstrom
8.037 0.000 0.000
4.018 6.960 0.000
4.018 2.320 6.562
ATOMIC_POSITIONS crystal
Br 0.749 0.749 0.251
Br 0.251 0.749 0.749
Br 0.749 0.251 0.749
Br 0.251 0.749 0.251
Br 0.749 0.251 0.251
Br 0.251 0.251 0.749
Rb 0.250 0.250 0.250
Rb 0.750 0.750 0.750
Na 0.500 0.500 0.500
Ce 0.000 0.000 0.000
! - Symmetry: Fm-3m, No. 225
! - ΔE_f (raw): -1688 meV per atom

***

# 19
! CeBrO | Alexandria | GGA-PBEsol | relaxed; values from VASP
&SYSTEM
  ibrav = 0, nat = 6, ntyp = 3
/
ATOMIC_SPECIES
Ce 140.12 Ce.upf
O 16.00 O.upf
Br 79.90 Br.upf
CELL_PARAMETERS angstrom
-1.678 -2.644 2.482
3.557 -1.729 0.563
1.314 4.582 5.770
ATOMIC_POSITIONS crystal
Ce 0.000 0.500 0.160
Ce 0.500 0.000 0.840
O 0.500 0.500 0.000
O 0.000 0.000 0.000
Br 0.000 0.500 0.640
Br 0.500 0.000 0.360
! - Symmetry: P4/nmm, No. 129
! - ΔE_f (raw): -2777 meV per atom

***

# 20
! Ce2Te7Br2O17 | Alexandria | GGA-PBEsol | relaxed; values from VASP
&SYSTEM
  ibrav = 0, nat = 56, ntyp = 4
/
ATOMIC_SPECIES
O 16.00 O.upf
Ce 140.12 Ce.upf
Te 127.60 Te.upf
Br 79.90 Br.upf
CELL_PARAMETERS angstrom
5.376 0.000 0.000
0.000 9.710 0.043
0.000 -2.329 18.898
ATOMIC_POSITIONS crystal
O 0.642 0.692 0.350
O 0.095 0.085 0.467
O 0.796 0.614 0.215
O 0.358 0.308 0.650
O 0.571 0.053 0.410
O 0.905 0.915 0.533
O 0.905 0.585 0.967
O 0.833 0.261 0.901
O 0.796 0.886 0.285
O 0.282 0.971 0.199
O 0.167 0.761 0.401
O 0.600 0.750 0.022
O 0.400 0.250 0.978
O 0.358 0.192 0.850
O 0.204 0.114 0.715
O 0.429 0.553 0.910
O 0.718 0.029 0.801
O 0.282 0.529 0.301
O 0.878 0.950 0.662
O 0.642 0.808 0.150
O 0.204 0.386 0.785
O 0.878 0.550 0.838
O 0.571 0.447 0.090
O 0.095 0.415 0.033
O 0.429 0.947 0.590
O 0.810 0.750 0.750
O 0.122 0.450 0.162
O 0.190 0.250 0.250
O 0.718 0.471 0.699
O 0.833 0.239 0.599
O 0.600 0.750 0.478
O 0.400 0.250 0.522
O 0.122 0.050 0.338
O 0.167 0.739 0.099
Ce 0.862 0.903 0.410
Ce 0.138 0.403 0.910
Ce 0.862 0.597 0.090
Ce 0.138 0.097 0.590
Te 0.011 0.432 0.257
Te 0.011 0.068 0.243
Te 0.603 0.120 0.911
Te 0.320 0.311 0.082
Te 0.443 0.250 0.750
Te 0.989 0.932 0.757
Te 0.320 0.189 0.418
Te 0.557 0.750 0.250
Te 0.603 0.380 0.589
Te 0.397 0.620 0.411
Te 0.397 0.880 0.089
Te 0.680 0.689 0.918
Te 0.680 0.811 0.582
Te 0.989 0.568 0.743
Br 0.832 0.107 0.080
Br 0.832 0.393 0.420
Br 0.168 0.893 0.920
Br 0.168 0.607 0.580
! - Symmetry: P2/c, No. 13
! - ΔE_f (raw): -1506 meV per atom